The following is a PBE calculation of a geometry-optimized La2Co3As4Ir structure, from Alexandria via LeMat-Bulk.

Geometry as extended XYZ:
```
10
Lattice="-2.0478 2.8249 2.4150 -3.0397 0.3133 -2.9441 -4.8466 -7.1414 4.2439" Properties=species:S:1:pos:R:3 pbc="T T T"
Ir -4.9670 -2.0016 1.8574
As 0.0000 0.0000 0.0000
Co -2.4233 -3.5707 2.1220
La -5.1871 -5.2470 1.7392
As -2.5437 1.5691 -0.2646
Co -2.0618 -0.6419 -0.9975
Co -5.3285 -4.9304 4.9769
As -3.2652 -2.4151 0.0563
La -2.2032 -0.3252 2.2401
As -4.1251 -3.1572 3.9231
```

Output
ΔH_f (0 K) = -0.79 eV per atom
total DFT energy (no corrections) = -6.65 eV per atom
V = 173.2 Å³ per cell